No. 1
Entry from the Alexandria database: an optimized crystal structure of TmAu3 (PBE).

Geometry as extended XYZ:
```
4
Lattice="-2.210 2.210 4.062 2.210 -2.210 4.062 2.210 2.210 -4.062" Properties=species:S:1:pos:R:3 pbc="T T T"
Tm 0.000 0.000 0.000
Au 2.210 0.000 2.031
Au 0.000 0.000 4.062
Au 0.000 2.210 2.031
```

Results
**DOS(E_F)**: 2.1 states/eV per cell
**Uncorrected energy**: -4.254 eV per atom
**Mass density**: 15.897 g cm⁻³
**Total moment**: 0.000 μB per formula unit
**ΔH_f (0 K)**: -65.5 kJ/mol of atoms

=====

No. 2
Entry from the Alexandria database: an optimized crystal structure of TmAu6 (PBE).

Geometry as extended XYZ:
```
7
Lattice="-3.696 3.696 3.696 3.696 -3.696 3.696 3.696 3.696 -3.696" Properties=species:S:1:pos:R:3 pbc="T T T"
Tm 0.000 0.000 0.000
Au 3.696 1.848 0.000
Au 3.696 0.000 1.848
Au 1.848 3.696 0.000
Au 1.848 0.000 3.696
Au 0.000 3.696 1.848
Au 0.000 1.848 3.696
```

Results
**DOS(E_F)**: 3.3 states/eV per cell
**Uncorrected energy**: -2.921 eV per atom
**Mass density**: 11.102 g cm⁻³
**Total moment**: 0.000 μB per formula unit
**ΔH_f (0 K)**: 50.9 kJ/mol of atoms

=====

No. 3
Entry from the Alexandria database: an optimized crystal structure of TmAu5 (PBE).

Geometry as extended XYZ:
```
6
Lattice="4.759 -2.080 0.000 4.759 2.080 0.000 -1.840 0.000 5.830" Properties=species:S:1:pos:R:3 pbc="T T T"
Tm 0.000 0.000 0.000
Au -0.920 0.000 2.915
Au 2.860 0.000 0.984
Au 1.979 0.000 3.872
Au 5.700 0.000 1.958
Au 4.819 0.000 4.846
```

Results
**DOS(E_F)**: 2.4 states/eV per cell
**Uncorrected energy**: -3.922 eV per atom
**Mass density**: 16.595 g cm⁻³
**Total moment**: 0.000 μB per formula unit
**ΔH_f (0 K)**: -43.0 kJ/mol of atoms

=====

No. 4
Entry from the Alexandria database: an optimized crystal structure of TmAu3 (PBE).

Geometry as extended XYZ:
```
8
Lattice="4.986 0.000 0.000 0.000 6.205 0.000 0.000 0.000 5.111" Properties=species:S:1:pos:R:3 pbc="T T T"
Tm 1.247 1.551 0.811
Tm 3.740 4.654 4.300
Au 1.247 3.129 3.403
Au 1.247 4.654 0.862
Au 1.247 6.178 3.403
Au 3.740 0.027 1.708
Au 3.740 1.551 4.249
Au 3.740 3.075 1.708
```

Results
**DOS(E_F)**: 2.0 states/eV per cell
**Uncorrected energy**: -4.304 eV per atom
**Mass density**: 15.959 g cm⁻³
**Total moment**: 0.000 μB per formula unit
**ΔH_f (0 K)**: -70.2 kJ/mol of atoms

=====

No. 5
Entry from the Alexandria database: an optimized crystal structure of Tm3Au2 (PBE).

Geometry as extended XYZ:
```
10
Lattice="8.073 0.000 0.000 0.000 8.073 0.000 0.000 0.000 3.743" Properties=species:S:1:pos:R:3 pbc="T T T"
Tm 0.000 0.000 0.000
Tm 1.301 2.735 1.871
Tm 2.735 6.772 1.871
Tm 4.037 4.037 0.000
Tm 5.338 1.301 1.871
Tm 6.772 5.338 1.871
Au 1.097 5.133 0.000
Au 2.940 1.097 0.000
Au 5.133 6.976 0.000
Au 6.976 2.940 0.000
```

Results
**DOS(E_F)**: 14.5 states/eV per cell
**Uncorrected energy**: -4.717 eV per atom
**Mass density**: 12.263 g cm⁻³
**Total moment**: 0.000 μB per formula unit
**ΔH_f (0 K)**: -69.8 kJ/mol of atoms

=====

No. 6
Entry from the Alexandria database: an optimized crystal structure of Tm3Au (PBE).

Geometry as extended XYZ:
```
16
Lattice="-5.939 5.939 3.041 5.939 -5.939 3.041 5.939 5.939 -3.041" Properties=species:S:1:pos:R:3 pbc="T T T"
Tm 4.794 1.148 -0.065
Tm 5.942 4.225 -1.520
Tm 8.332 2.389 0.137
Tm 2.389 3.546 -0.137
Tm -0.002 1.714 1.521
Tm 4.791 -1.145 3.106
Tm 1.148 7.085 0.065
Tm 3.550 2.393 2.904
Tm 4.225 5.937 1.520
Tm 1.714 0.002 4.561
Tm -2.393 3.550 3.178
Tm 1.145 4.791 2.976
Au 3.472 5.936 -1.521
Au 2.467 0.003 1.520
Au 5.942 3.472 1.521
Au -0.003 2.467 4.562
```

Results
**DOS(E_F)**: 26.2 states/eV per cell
**Uncorrected energy**: -4.578 eV per atom
**Mass density**: 10.894 g cm⁻³
**Total moment**: 0.000 μB per formula unit
**ΔH_f (0 K)**: -39.1 kJ/mol of atoms

=====

No. 7
Entry from the Alexandria database: an optimized crystal structure of Tm4Au (PBE).

Geometry as extended XYZ:
```
10
Lattice="0.000 6.673 3.717 5.848 0.000 3.717 5.848 6.673 0.000" Properties=species:S:1:pos:R:3 pbc="T T T"
Tm 1.567 0.894 1.446
Tm 4.491 2.443 3.305
Tm 4.281 5.780 1.446
Tm 6.757 5.187 3.717
Tm 7.205 10.904 3.305
Tm 4.939 8.160 3.717
Tm 7.863 8.524 5.575
Tm 9.681 11.497 5.575
Au 2.924 3.337 0.756
Au 5.848 6.673 6.331
```

Results
**DOS(E_F)**: 14.4 states/eV per cell
**Uncorrected energy**: -4.466 eV per atom
**Mass density**: 9.991 g cm⁻³
**Total moment**: 0.000 μB per formula unit
**ΔH_f (0 K)**: -22.5 kJ/mol of atoms

=====

No. 8
Entry from the Alexandria database: an optimized crystal structure of TmAu3 (PBE).

Geometry as extended XYZ:
```
4
Lattice="-2.009 2.009 5.675 2.009 -2.009 5.675 2.009 2.009 -5.675" Properties=species:S:1:pos:R:3 pbc="T T T"
Tm 0.000 0.000 0.000
Au 0.000 0.000 2.897
Au 0.000 0.000 5.675
Au 0.000 0.000 8.453
```

Results
**DOS(E_F)**: 2.0 states/eV per cell
**Uncorrected energy**: -3.872 eV per atom
**Mass density**: 13.768 g cm⁻³
**Total moment**: 0.000 μB per formula unit
**ΔH_f (0 K)**: -28.6 kJ/mol of atoms

=====

No. 9
Entry from the Alexandria database: an optimized crystal structure of Tm5Au (PBE).

Geometry as extended XYZ:
```
6
Lattice="2.252 -7.437 0.000 2.252 7.437 0.000 0.000 0.000 4.792" Properties=species:S:1:pos:R:3 pbc="T T T"
Tm 0.000 0.000 0.000
Tm 2.252 5.081 2.396
Tm 2.252 2.530 0.000
Tm 2.252 -2.530 0.000
Tm 2.252 -5.081 2.396
Au 2.252 0.000 2.396
```

Results
**DOS(E_F)**: 8.2 states/eV per cell
**Uncorrected energy**: -4.425 eV per atom
**Mass density**: 10.775 g cm⁻³
**Total moment**: 0.000 μB per formula unit
**ΔH_f (0 K)**: -14.7 kJ/mol of atoms

=====

No. 10
Entry from the Alexandria database: an optimized crystal structure of Tm4Au (PBE).

Geometry as extended XYZ:
```
5
Lattice="5.479 0.000 0.000 0.000 5.479 0.000 0.000 0.000 5.479" Properties=species:S:1:pos:R:3 pbc="T T T"
Tm 0.000 0.000 0.000
Tm 0.000 2.740 2.740
Tm 2.740 0.000 2.740
Tm 2.740 2.740 0.000
Au 2.740 2.740 2.740
```

Results
**DOS(E_F)**: 8.5 states/eV per cell
**Uncorrected energy**: -4.248 eV per atom
**Mass density**: 8.809 g cm⁻³
**Total moment**: 0.001 μB per formula unit
**ΔH_f (0 K)**: -1.4 kJ/mol of atoms

=====

No. 11
Entry from the Alexandria database: an optimized crystal structure of Tm5Au3 (PBE).

Geometry as extended XYZ:
```
16
Lattice="-3.663 3.663 7.451 3.663 -3.663 7.451 3.663 3.663 -7.451" Properties=species:S:1:pos:R:3 pbc="T T T"
Tm 0.000 0.000 0.000
Tm 4.881 1.218 -2.258
Tm 1.218 2.444 -2.258
Tm 4.881 1.218 2.258
Tm 1.218 2.444 2.258
Tm 0.000 0.000 7.451
Tm 2.444 1.218 5.193
Tm -1.218 2.444 5.193
Tm 2.444 1.218 9.709
Tm -1.218 2.444 9.709
Au 2.659 1.004 0.000
Au 0.000 0.000 3.726
Au 2.659 -1.004 7.451
Au 1.004 4.666 0.000
Au 0.000 0.000 11.177
Au 1.004 2.659 7.451
```

Results
**DOS(E_F)**: 18.1 states/eV per cell
**Uncorrected energy**: -4.690 eV per atom
**Mass density**: 11.924 g cm⁻³
**Total moment**: 0.000 μB per formula unit
**ΔH_f (0 K)**: -64.3 kJ/mol of atoms

=====

No. 12
Entry from the Alexandria database: an optimized crystal structure of Tm3Au (PBE).

Geometry as extended XYZ:
```
4
Lattice="3.544 0.000 0.000 0.000 3.626 0.000 0.000 0.000 9.129" Properties=species:S:1:pos:R:3 pbc="T T T"
Tm 0.000 0.000 0.000
Tm 0.000 1.813 3.006
Tm 1.772 1.813 6.713
Au 1.772 0.000 4.369
```

Results
**DOS(E_F)**: 4.8 states/eV per cell
**Uncorrected energy**: -4.398 eV per atom
**Mass density**: 9.962 g cm⁻³
**Total moment**: 0.001 μB per formula unit
**ΔH_f (0 K)**: -21.7 kJ/mol of atoms